No. 1
Below is crystalline AcPr5As6 at its relaxed geometry, with properties calculated at the PBE-GGA level.

a b c (Å): 7.5362 7.5362 7.5363
angles (deg): 99.60 99.60 119.99
Closest atoms and distances in Å follow each position.
Sites, in units of the cell vectors:
1 Ac 0.0000 0.0000 0.0000  6 As 3.13
2 Pr 0.1658 0.8342 0.5000  6 As 3.03-3.08
3 Pr 0.3330 0.6670 0.0000  6 As 3.07
4 Pr 0.5000 0.5000 0.5000  6 As 3.02-3.08
5 Pr 0.6670 0.3330 0.0000  6 As 3.07
6 Pr 0.8342 0.1658 0.5000  6 As 3.03-3.08
7 As 0.0848 0.4245 0.2542  5 Pr 3.03-3.08, 1 Ac 3.13
8 As 0.2554 0.2554 0.7467  5 Pr 3.02-3.08, 1 Ac 3.13
9 As 0.4245 0.0848 0.2542  5 Pr 3.03-3.08, 1 Ac 3.13
10 As 0.5755 0.9152 0.7458  5 Pr 3.03-3.08, 1 Ac 3.13
11 As 0.7446 0.7446 0.2533  5 Pr 3.02-3.08, 1 Ac 3.13
12 As 0.9152 0.5755 0.7458  5 Pr 3.03-3.08, 1 Ac 3.13

Results
The calculation puts the size of the total moment at 0.00 μB/f.u. The density of states at the Fermi level comes out at 0.8 states/eV per cell. Its space-group type is No. 12. The calculation puts the total energy at -73.755 eV/cell. As for the formation energy: -1722 kJ/mol of formula units.

=====

No. 2
Below is crystalline GaCuP2O at its relaxed geometry, with properties calculated at the PBE-GGA level.

a b c (Å): 4.7496 4.7496 3.5156
angles (deg): 90.00 90.00 90.00
Closest atoms and distances in Å follow each position.
Sites, in units of the cell vectors:
1 Ga 0.0000 0.0000 0.0000  8 P 2.95
2 Cu 0.5000 0.5000 0.5000  2 O 1.76
3 P 0.0000 0.5000 0.5000  2 Cu 2.37
4 P 0.5000 0.0000 0.5000  2 Cu 2.37
5 O 0.5000 0.5000 0.0000  2 Cu 1.76

Results
The calculation puts the size of the total moment at 0.00 μB/f.u. The density of states at the Fermi level comes out at 3.9 states/eV per cell. Its space-group type is No. 123. Its uncorrected formation energy is 0.44 eV per atom. The calculation puts the total energy at -20.720 eV/cell. As for the distance to the lowest polymorph of the same formula: 0.0000 eV/atom.

=====

No. 3
Below is crystalline RbBiN at its relaxed geometry, with properties calculated at the PBE-GGA level.

a b c (Å): 4.4909 4.4987 8.8872
angles (deg): 90.00 90.01 90.00
Closest atoms and distances in Å follow each position.
Sites, in units of the cell vectors:
1 Rb 0.2496 0.2500 0.1407  5 N 2.95-3.21
2 Rb 0.7504 0.7500 0.8593  5 N 2.95-3.21
3 Bi 0.2502 0.2500 0.5800  1 N 2.04
4 Bi 0.7498 0.7500 0.4200  1 N 2.04
5 N 0.2509 0.2500 0.8090  1 Bi 2.04
6 N 0.7491 0.7500 0.1910  1 Bi 2.04

Results
The calculation puts the size of the total moment at 0.00 μB/f.u. The density of states at the Fermi level comes out at 2.9 states/eV per cell. Its space-group type is No. 11. Its uncorrected formation energy is 0.40 eV per atom. The calculation puts the total energy at -23.931 eV/cell. As for the distance to the lowest polymorph of the same formula: 0.0407 eV/atom.

=====

No. 4
Below is crystalline Sm2HoGa3 at its relaxed geometry, with properties calculated at the PBE-GGA level.

a b c (Å): 10.7787 10.7787 6.2577
angles (deg): 90.00 90.00 155.17
Closest atoms and distances in Å follow each position.
Sites, in units of the cell vectors:
1 Sm 0.0346 0.9654 0.7500  8 Ga 3.03-3.34
2 Sm 0.1454 0.8546 0.2500  6 Ga 3.08-3.17
3 Sm 0.8546 0.1454 0.7500  6 Ga 3.08-3.17
4 Sm 0.9654 0.0346 0.2500  8 Ga 3.03-3.34
5 Ho 0.3254 0.6746 0.2500  4 Ga 2.91-3.00
6 Ho 0.6746 0.3254 0.7500  4 Ga 2.91-3.00
7 Ga 0.2580 0.7420 0.7500  2 Ho 2.91, 2 Sm 3.08
8 Ga 0.4376 0.5624 0.5465  2 Ga 2.55-2.69
9 Ga 0.4376 0.5624 0.9535  2 Ga 2.55-2.69
10 Ga 0.5624 0.4376 0.0465  2 Ga 2.55-2.69
11 Ga 0.5624 0.4376 0.4535  2 Ga 2.55-2.69
12 Ga 0.7420 0.2580 0.2500  2 Ho 2.91, 2 Sm 3.08

Results
The calculation puts the size of the total moment at 0.00 μB/f.u. The density of states at the Fermi level comes out at 10.3 states/eV per cell. Its space-group type is No. 63. The calculation puts the total energy at -52.041 eV/cell. As for the formation energy: -282 kJ/mol of formula units. As for the distance to the lowest polymorph of the same formula: 0.0851 eV/atom.